Compound: Li4MnCo5O12
Source: Alexandria
Functional: PBE with a Hubbard U
Structure: optimized geometry

Properties
calculated volume: 9.51 Å³/atom
SG: C2/m (12)
calculated total energy: -128.74 eV for the cell shown

CIF file:
```
data_Li4MnCo5O12
_chemical_formula_sum 'Li4 Mn1 Co5 O12'
_cell_length_a 4.912
_cell_length_b 4.912
_cell_length_c 10.101
_cell_angle_alpha 96.32
_cell_angle_beta 96.32
_cell_angle_gamma 118.51
_symmetry_space_group_name_H-M 'P 1'
_symmetry_Int_Tables_number 1
loop_
_symmetry_equiv_pos_as_xyz
'x,y,z'
loop_
_atom_site_label
_atom_site_type_symbol
_atom_site_fract_x
_atom_site_fract_y
_atom_site_fract_z
_atom_site_occupancy
Li1 Li 0.103 0.761 0.749 1
Li2 Li 0.239 0.897 0.251 1
Li3 Li 0.761 0.103 0.749 1
Li4 Li 0.897 0.239 0.251 1
Mn1 Mn 0.000 0.000 0.500 1
Co1 Co 0.167 0.833 0.000 1
Co2 Co 0.334 0.666 0.500 1
Co3 Co 0.500 0.500 0.000 1
Co4 Co 0.666 0.334 0.500 1
Co5 Co 0.833 0.167 0.000 1
O1 O 0.015 0.355 0.611 1
O2 O 0.125 0.125 0.899 1
O3 O 0.208 0.540 0.100 1
O4 O 0.283 0.283 0.398 1
O5 O 0.355 0.015 0.611 1
O6 O 0.460 0.792 0.900 1
O7 O 0.540 0.208 0.100 1
O8 O 0.645 0.985 0.389 1
O9 O 0.717 0.717 0.602 1
O10 O 0.792 0.460 0.900 1
O11 O 0.875 0.875 0.101 1
O12 O 0.985 0.645 0.389 1
```